1.
PBE SrMnS, relaxed; raw formation energy = -0.6401 eV/atom; space-group type = Pm (6); spin magnetization = 7.2 μB/cell; ρ = 3.88 Mg/m³
1.0
-1.6835 -3.5607 -0.3740
3.6966 -1.4698 -2.6461
4.2183 -2.6426 6.1707
Sr S Mn
2 2 2
Cartesian
6.7789 -4.1170 2.4614
2.1431 -1.6917 0.2388
2.8317 -3.9902 -1.9044
4.4513 -2.9080 1.4344
4.0942 -4.7845 -0.0126
2.8610 -4.4398 2.2555

2.
PBE Zn2MoAs, relaxed; space-group type = I-42d (122); formation energy from the elements = 0.395 eV per atom; spin magnetization = 0.0 μB/cell; ρ = 7.44 Mg/m³
1.0
7.3337 0.0000 0.0000
0.0000 7.3337 0.0000
3.6668 3.6668 2.5024
Zn Mo As
4 2 2
Cartesian
5.3980 1.8334 0.6256
1.9357 5.5003 0.6256
5.5003 5.6025 1.8768
9.1671 9.0648 1.8768
0.0000 0.0000 0.0000
7.3337 3.6668 1.2512
3.6668 3.6668 0.0000
3.6668 7.3337 1.2512

3.
PBE Pm8Sm3Tm2, relaxed; space-group type = C2/m (12); formation energy from the elements = 0.214 eV per atom; spin magnetization = 0.0 μB/cell; ρ = 7.15 Mg/m³
1.0
5.7149 0.0000 0.7687
0.0000 7.7454 0.0000
-1.3587 -3.8727 10.0495
Pm Sm Tm
8 3 2
Cartesian
-0.4698 3.8727 3.5005
4.8259 0.0000 7.3177
5.3490 0.0000 3.4582
-0.9928 3.8727 7.3600
1.7922 1.6059 8.2598
1.7922 -1.6059 8.2598
2.5640 5.4786 2.5584
2.5640 2.2669 2.5584
2.8574 0.0000 0.3843
0.0000 2.2352 0.0000
0.0000 5.5102 0.0000
2.1991 0.0000 5.2195
2.1570 3.8727 5.5987

4.
PBE La2ScSbN, relaxed; raw formation energy = -1.0887 eV/atom; space-group type = P4/mmm (123); spin magnetization = 0.0 μB/cell; ρ = 6.37 Mg/m³
1.0
5.2245 0.0000 0.0000
0.0000 5.2245 0.0000
0.0000 0.0000 4.3768
Sc Sb N La
1 1 1 2
Cartesian
0.0000 0.0000 2.1884
2.6123 2.6123 2.1884
0.0000 0.0000 0.0000
0.0000 2.6123 0.0000
2.6123 0.0000 0.0000

What is the spin magnetization in the fourth record?
0.0 μB/cell